Record 1
The following is a DFT calculation (GGA-PBE) of a geometry-optimized Sr4Tl2H structure.

```
Sr4Tl2H
1.0
-0.394 -3.403 6.294
-6.604 -3.167 -2.126
4.601 -5.707 -5.791
Sr Tl H
8 4 2
Cartesian
-2.241 -5.043 0.610 Sr
-0.640 -8.259 -6.228 Sr
-1.757 -4.018 4.605 Sr
-5.454 -6.584 -0.424 Sr
0.926 -7.626 1.643 Sr
3.057 -5.693 -1.199 Sr
-0.156 -7.234 -2.234 Sr
-3.324 -4.651 -3.266 Sr
-5.142 -4.793 2.593 Tl
2.744 -7.484 -4.216 Tl
0.062 -3.676 -1.557 Tl
-2.459 -8.601 -0.066 Tl
-4.073 -4.646 -0.944 H
1.676 -7.631 -0.679 H
```

Values from the calculation:
Density   5.15 g/cm³

***

Record 2
The following is a DFT calculation (GGA-PBE) of a geometry-optimized Sr2TlH structure.

```
Sr2TlH
1.0
-5.439 -4.052 -3.475
0.598 -5.392 5.352
-5.333 -2.774 3.227
Sr Tl H
4 2 2
Cartesian
-4.126 -3.504 -0.356 Sr
-2.171 -4.966 3.378 Sr
-5.757 -6.149 3.647 Sr
-8.294 -9.817 3.539 Sr
0.000 0.000 0.000 Tl
-6.596 -5.774 0.345 Tl
-2.421 -4.722 0.939 H
-3.578 -6.444 4.759 H
```

Values from the calculation:
Density   5.20 g/cm³
ΔE to the lowest computed polymorph   0.445 eV/f.u.

***

no.,E_tot (eV per atom),magnetization (μB per formula unit)
1,-2.457,0.000
2,-2.570,0.000